(1)
Here is a relaxed NaTlAsAu crystal from Alexandria. Energies are from PBE.

Cell lengths 4.9892, 4.9892, 4.9892 Å; angles 60.00, 60.00, 60.00 degrees
With the nearest neighbours (Å) after each atom.
Atoms (fractional coordinates):
Na1 0.2500 0.2500 0.2500  4 As 3.06, 4 Tl 3.06
Tl1 0.5000 0.5000 0.5000  4 Na 3.06, 4 Au 3.06
Au1 0.7500 0.7500 0.7500  4 Tl 3.06, 4 As 3.06
As1 0.0000 0.0000 0.0000  4 Au 3.06, 4 Na 3.06

Results
Formation energy from the elements: -59 meV/atom
Magnetic moment: 0.00 μB per cell
Crystal system: cubic


(2)
Here is a relaxed NaTmAsAu crystal from Alexandria. Energies are from PBE.

Cell lengths 4.9591, 4.9591, 4.9591 Å; angles 60.00, 60.00, 60.00 degrees
With the nearest neighbours (Å) after each atom.
Atoms (fractional coordinates):
Na1 0.5000 0.5000 0.5000  4 As 3.04, 4 Au 3.04
As1 0.2500 0.2500 0.2500  4 Tm 3.04, 4 Na 3.04
Tm1 0.0000 0.0000 0.0000  4 As 3.04, 4 Au 3.04
Au1 0.7500 0.7500 0.7500  4 Na 3.04, 4 Tm 3.04

Results
Formation energy from the elements: -726 meV/atom
Magnetic moment: 0.00 μB per cell
Crystal system: cubic


(3)
Here is a relaxed NaVAs2Au crystal from Alexandria. Energies are from PBE.

Cell lengths 4.8632, 4.6343, 4.8632 Å; angles 90.00, 90.00, 90.00 degrees
With the nearest neighbours (Å) after each atom.
Atoms (fractional coordinates):
Na1 0.0000 0.0000 0.0000  2 V 2.32, 4 As 2.43
As1 0.0000 0.0000 0.5000  2 Na 2.43
As2 0.5000 0.0000 0.0000  2 Na 2.43
Au1 0.5000 0.5000 0.5000  8 As 3.36, 4 V 3.44
V1 0.0000 0.5000 0.0000  2 Na 2.32

Results
Formation energy from the elements: 1466 meV/atom
Magnetic moment: 0.14 μB per cell
Crystal system: tetragonal


(4)
Here is a relaxed Na2Zn2AsAu5 crystal from Alexandria. Energies are from PBE.

Cell lengths 3.5239, 10.5482, 10.5482 Å; angles 90.00, 90.00, 90.00 degrees
With the nearest neighbours (Å) after each atom.
Atoms (fractional coordinates):
Na1 0.0000 0.6737 0.1737  3 Zn 2.95-3.22, 2 Au 3.13
Na2 0.0000 0.3263 0.8263  3 Zn 2.95-3.22, 2 Au 3.13
Na3 0.0000 0.1737 0.3263  3 Zn 2.95-3.22, 2 Au 3.13
Na4 0.0000 0.8263 0.6737  3 Zn 2.95-3.22, 2 Au 3.13
Zn1 0.0000 0.1284 0.6284  6 Au 2.60-2.64
Zn2 0.0000 0.8716 0.3716  6 Au 2.60-2.64
Zn3 0.0000 0.6284 0.8716  6 Au 2.60-2.64
Zn4 0.0000 0.3716 0.1284  6 Au 2.60-2.64
As1 0.0000 0.0000 0.0000  8 Au 2.81
As2 0.0000 0.5000 0.5000  8 Au 2.81
Au1 0.5000 0.1989 0.0596  2 Zn 2.64, 2 As 2.81
Au2 0.5000 0.8011 0.9404  2 Zn 2.64, 2 As 2.81
Au3 0.5000 0.0596 0.8011  2 Zn 2.64, 2 As 2.81
Au4 0.5000 0.6989 0.4404  2 Zn 2.64, 2 As 2.81
Au5 0.5000 0.9404 0.1989  2 Zn 2.64, 2 As 2.81
Au6 0.5000 0.3011 0.5596  2 Zn 2.64, 2 As 2.81
Au7 0.5000 0.5596 0.6989  2 Zn 2.64, 2 As 2.81
Au8 0.5000 0.4404 0.3011  2 Zn 2.64, 2 As 2.81
Au9 0.5000 0.5000 0.0000  4 Zn 2.60
Au10 0.5000 0.0000 0.5000  4 Zn 2.60

Results
Formation energy from the elements: -186 meV/atom
Magnetic moment: 0.00 μB per cell
Crystal system: tetragonal


(5)
Here is a relaxed Nb2As2Au crystal from Alexandria. Energies are from PBE.

Cell lengths 7.3411, 7.3411, 3.2790 Å; angles 90.00, 90.00, 90.00 degrees
With the nearest neighbours (Å) after each atom.
Atoms (fractional coordinates):
Nb1 0.1430 0.6430 0.5000  6 As 2.69-2.72, 1 Nb 2.97
Nb2 0.6430 0.8570 0.5000  6 As 2.69-2.72, 1 Nb 2.97
Nb3 0.8570 0.3570 0.5000  6 As 2.69-2.72, 1 Nb 2.97
Nb4 0.3570 0.1430 0.5000  6 As 2.69-2.72, 1 Nb 2.97
Au1 0.0000 0.0000 0.0000  4 As 2.80
Au2 0.5000 0.5000 0.0000  4 As 2.80
As1 0.3519 0.8519 0.0000  6 Nb 2.69-2.72, 2 Au 2.80
As2 0.8519 0.6481 0.0000  6 Nb 2.69-2.72, 2 Au 2.80
As3 0.6481 0.1481 0.0000  6 Nb 2.69-2.72, 2 Au 2.80
As4 0.1481 0.3519 0.0000  6 Nb 2.69-2.72, 2 Au 2.80

Results
Energy above the lowest structure with this stoichiometry: 116 meV per atom
Formation energy from the elements: -234 meV/atom
Magnetic moment: 0.00 μB per cell
Crystal system: tetragonal


(6)
Here is a relaxed Nb2As2Au crystal from Alexandria. Energies are from PBE.

Cell lengths 7.3203, 7.3203, 3.3873 Å; angles 90.00, 90.00, 90.00 degrees
With the nearest neighbours (Å) after each atom.
Atoms (fractional coordinates):
Nb1 0.3575 0.8575 0.0000  6 As 2.71-2.76, 2 Au 2.82, 1 Nb 2.95
Nb2 0.8575 0.6425 0.0000  6 As 2.71-2.76, 2 Au 2.82, 1 Nb 2.95
Nb3 0.6425 0.1425 0.0000  6 As 2.71-2.76, 2 Au 2.82, 1 Nb 2.95
Nb4 0.1425 0.3575 0.0000  6 As 2.71-2.76, 2 Au 2.82, 1 Nb 2.95
Au1 0.0000 0.0000 0.0000  4 Nb 2.82
Au2 0.5000 0.5000 0.0000  4 Nb 2.82
As1 0.1472 0.6472 0.5000  6 Nb 2.71-2.76
As2 0.6472 0.8528 0.5000  6 Nb 2.71-2.76
As3 0.8528 0.3528 0.5000  6 Nb 2.71-2.76
As4 0.3528 0.1472 0.5000  6 Nb 2.71-2.76

Results
Energy above the lowest structure with this stoichiometry: 0 meV per atom
Formation energy from the elements: -350 meV/atom
Magnetic moment: 0.00 μB per cell
Crystal system: tetragonal


(7)
Here is a relaxed NbAs2Au2 crystal from Alexandria. Energies are from PBE.

Cell lengths 7.0476, 7.0476, 3.7344 Å; angles 90.00, 90.00, 90.00 degrees
With the nearest neighbours (Å) after each atom.
Atoms (fractional coordinates):
Nb1 0.0000 0.0000 0.0000  4 As 2.65
Nb2 0.5000 0.5000 0.0000  4 As 2.65
Au1 0.1489 0.6489 0.5000  6 As 2.66-2.87, 1 Au 2.97
Au2 0.6489 0.8511 0.5000  6 As 2.66-2.87, 1 Au 2.97
Au3 0.8511 0.3511 0.5000  6 As 2.66-2.87, 1 Au 2.97
Au4 0.3511 0.1489 0.5000  6 As 2.66-2.87, 1 Au 2.97
As1 0.3393 0.8393 0.0000  2 Nb 2.65, 6 Au 2.66-2.87
As2 0.8393 0.6607 0.0000  2 Nb 2.65, 6 Au 2.66-2.87
As3 0.6607 0.1607 0.0000  2 Nb 2.65, 6 Au 2.66-2.87
As4 0.1607 0.3393 0.0000  2 Nb 2.65, 6 Au 2.66-2.87

Results
Formation energy from the elements: 73 meV/atom
Magnetic moment: 0.00 μB per cell
Crystal system: tetragonal


(8)
Here is a relaxed NbAsAu3 crystal from Alexandria. Energies are from PBE.

Cell lengths 4.7917, 4.7917, 4.7917 Å; angles 90.00, 90.00, 90.00 degrees
With the nearest neighbours (Å) after each atom.
Atoms (fractional coordinates):
Nb1 0.5000 0.5000 0.5000  12 Au 3.39
Au1 0.0000 0.5000 0.0000  2 As 2.40
Au2 0.0000 0.0000 0.5000  2 As 2.40
Au3 0.5000 0.0000 0.0000  2 As 2.40
As1 0.0000 0.0000 0.0000  6 Au 2.40

Results
Energy above the lowest structure with this stoichiometry: 0 meV per atom
Formation energy from the elements: 881 meV/atom
Magnetic moment: 0.00 μB per cell
Crystal system: cubic


- Which formula does entry 6 have?
  Nb2As2Au